Entry 1:
# Tb3PmHo6 | the Alexandria database | PBE-GGA | relaxed
# Calculated volume in A^3/atom: 32.1
# Density in g/cm³: 8.32
# Energy relative to the elements in eV/atom: 0.1483
# Energy above the most stable polymorph in this dataset in kcal/mol of atoms: 0.00
# Raw total energy in eV/cell: -178.5
data_Tb3PmHo6
_chemical_formula_sum 'Tb12 Pm4 Ho24'
_space_group_name_H-M_alt 'C m c 21'
_space_group_IT_number 36
_cell_length_a 11.005
_cell_length_b 18.903
_cell_length_c 6.180
_cell_angle_alpha 90.00
_cell_angle_beta 90.00
_cell_angle_gamma 90.00
loop_
_space_group_symop_operation_xyz
'x,y,z'
'-x,-y,z+1/2'
'-x,y,z'
'x,-y,z+1/2'
'x+1/2,y+1/2,z'
'-x+1/2,-y+1/2,z+1/2'
'-x+1/2,y+1/2,z'
'x+1/2,-y+1/2,z+1/2'
loop_
_atom_site_label
_atom_site_type_symbol
_atom_site_fract_x
_atom_site_fract_y
_atom_site_fract_z
Tb1 Tb 0.000 0.110 0.000
Tb2 Tb 0.172 0.391 0.611
Pm1 Pm 0.000 0.294 0.922
Ho1 Ho 0.000 0.217 0.429
Ho2 Ho 0.000 0.454 0.157
Ho3 Ho 0.165 0.047 0.537
Ho4 Ho 0.250 0.211 0.704

Entry 2:
# Tb7PmHo2 | the Alexandria database | PBE-GGA | relaxed
# Calculated volume in A^3/atom: 39.6
# Density in g/cm³: 6.66
# Energy relative to the elements in eV/atom: 0.6899
# Energy above the most stable polymorph in this dataset in kcal/mol of atoms: 15.54
# Raw total energy in eV/cell: -78.8
data_Tb7PmHo2
_chemical_formula_sum 'Tb14 Pm2 Ho4'
_space_group_name_H-M_alt 'C m m m'
_space_group_IT_number 65
_space_group_name_Hall '-C 2 2'
_cell_length_a 8.749
_cell_length_b 16.113
_cell_length_c 5.618
_cell_angle_alpha 90.00
_cell_angle_beta 90.00
_cell_angle_gamma 90.00
loop_
_atom_site_label
_atom_site_type_symbol
_atom_site_fract_x
_atom_site_fract_y
_atom_site_fract_z
Tb1 Tb 0.000 0.000 0.000
Tb2 Tb 0.000 0.282 0.500
Tb3 Tb 0.177 0.385 0.000
Pm1 Pm 0.000 0.500 0.500
Ho1 Ho 0.000 0.204 0.000

Entry 3:
# Tb2PmHo6 | the Alexandria database | PBE-GGA | relaxed
# Calculated volume in A^3/atom: 31.4
# Density in g/cm³: 8.53
# Energy relative to the elements in eV/atom: 0.0706
# Energy above the most stable polymorph in this dataset in kcal/mol of atoms: 1.18
# Raw total energy in eV/cell: -81.7
data_Tb2PmHo6
_chemical_formula_sum 'Tb4 Pm2 Ho12'
_space_group_name_H-M_alt 'C m m m'
_space_group_IT_number 65
_space_group_name_Hall '-C 2 2'
_cell_length_a 5.613
_cell_length_b 29.124
_cell_length_c 3.461
_cell_angle_alpha 90.00
_cell_angle_beta 90.00
_cell_angle_gamma 90.00
loop_
_atom_site_label
_atom_site_type_symbol
_atom_site_fract_x
_atom_site_fract_y
_atom_site_fract_z
Tb1 Tb 0.000 0.167 0.000
Pm1 Pm 0.000 0.500 0.000
Ho1 Ho 0.000 0.056 0.500
Ho2 Ho 0.000 0.277 0.500
Ho3 Ho 0.000 0.388 0.500

Entry 4:
# Tb5Pm4Ho3 | the Alexandria database | PBE-GGA | relaxed
# Calculated volume in A^3/atom: 33.4
# Density in g/cm³: 7.76
# Energy relative to the elements in eV/atom: 0.2267
# Raw total energy in eV/cell: -106.3
data_Tb5Pm4Ho3
_chemical_formula_sum 'Tb10 Pm8 Ho6'
_space_group_name_H-M_alt 'C 1 2/m 1'
_space_group_IT_number 12
_cell_length_a 16.146
_cell_length_b 5.925
_cell_length_c 9.355
_cell_angle_alpha 90.00
_cell_angle_beta 116.55
_cell_angle_gamma 90.00
loop_
_space_group_symop_operation_xyz
'x,y,z'
'-x,-y,-z'
'-x,y,-z'
'x,-y,z'
'x+1/2,y+1/2,z'
'-x+1/2,-y+1/2,-z'
'-x+1/2,y+1/2,-z'
'x+1/2,-y+1/2,z'
loop_
_atom_site_label
_atom_site_type_symbol
_atom_site_fract_x
_atom_site_fract_y
_atom_site_fract_z
Tb1 Tb 0.000 0.000 0.000
Tb2 Tb 0.072 0.500 0.702
Tb3 Tb 0.172 0.500 0.386
Pm1 Pm 0.083 0.000 0.444
Pm2 Pm 0.216 0.000 0.880
Ho1 Ho 0.000 0.500 0.000
Ho2 Ho 0.210 0.000 0.233

Entry 5:
# Tb7PmHo2 | the Alexandria database | PBE-GGA | relaxed
# Calculated volume in A^3/atom: 31.9
# Density in g/cm³: 8.26
# Energy relative to the elements in eV/atom: 0.0160
# Energy above the most stable polymorph in this dataset in kcal/mol of atoms: 0.00
# Raw total energy in eV/cell: -46.2
data_Tb7PmHo2
_chemical_formula_sum 'Tb7 Pm1 Ho2'
_space_group_name_H-M_alt 'P -1'
_space_group_IT_number 2
_cell_length_a 6.164
_cell_length_b 7.121
_cell_length_c 7.965
_cell_angle_alpha 77.07
_cell_angle_beta 75.01
_cell_angle_gamma 73.32
loop_
_space_group_symop_operation_xyz
'x,y,z'
'-x,-y,-z'
loop_
_atom_site_label
_atom_site_type_symbol
_atom_site_fract_x
_atom_site_fract_y
_atom_site_fract_z
Tb1 Tb 0.000 0.000 0.000
Tb2 Tb 0.200 0.800 0.599
Tb3 Tb 0.400 0.600 0.201
Tb4 Tb 0.401 0.099 0.201
Pm1 Pm 0.000 0.500 0.000
Ho1 Ho 0.200 0.300 0.599

Entry 6:
# TbPm3Ho6 | the Alexandria database | PBE-GGA | relaxed
# Calculated volume in A^3/atom: 32.6
# Density in g/cm³: 8.07
# Energy relative to the elements in eV/atom: 0.1491
# Energy above the most stable polymorph in this dataset in kcal/mol of atoms: 3.04
# Raw total energy in eV/cell: -179.4
data_TbPm3Ho6
_chemical_formula_sum 'Tb4 Pm12 Ho24'
_space_group_name_H-M_alt 'C m c 21'
_space_group_IT_number 36
_cell_length_a 10.971
_cell_length_b 18.884
_cell_length_c 6.292
_cell_angle_alpha 90.00
_cell_angle_beta 90.00
_cell_angle_gamma 90.00
loop_
_space_group_symop_operation_xyz
'x,y,z'
'-x,-y,z+1/2'
'-x,y,z'
'x,-y,z+1/2'
'x+1/2,y+1/2,z'
'-x+1/2,-y+1/2,z+1/2'
'-x+1/2,y+1/2,z'
'x+1/2,-y+1/2,z+1/2'
loop_
_atom_site_label
_atom_site_type_symbol
_atom_site_fract_x
_atom_site_fract_y
_atom_site_fract_z
Tb1 Tb 0.000 0.199 0.000
Pm1 Pm 0.000 0.389 0.934
Pm2 Pm 0.174 0.112 0.326
Ho1 Ho 0.000 0.042 0.750
Ho2 Ho 0.000 0.275 0.512
Ho3 Ho 0.166 0.454 0.409
Ho4 Ho 0.243 0.290 0.235

Entry 7:
# Tb4Pm3Ho5 | the Alexandria database | PBE-GGA | relaxed
# Calculated volume in A^3/atom: 32.1
# Density in g/cm³: 8.18
# Energy relative to the elements in eV/atom: 0.0158
# Energy above the most stable polymorph in this dataset in kcal/mol of atoms: 0.00
# Raw total energy in eV/cell: -55.5
data_Tb4Pm3Ho5
_chemical_formula_sum 'Tb4 Pm3 Ho5'
_space_group_name_H-M_alt 'P -1'
_space_group_IT_number 2
_cell_length_a 6.175
_cell_length_b 7.133
_cell_length_c 8.734
_cell_angle_alpha 90.01
_cell_angle_beta 90.15
_cell_angle_gamma 90.14
loop_
_space_group_symop_operation_xyz
'x,y,z'
'-x,-y,-z'
loop_
_atom_site_label
_atom_site_type_symbol
_atom_site_fract_x
_atom_site_fract_y
_atom_site_fract_z
Tb1 Tb 0.167 0.000 0.168
Tb2 Tb 0.332 0.249 0.833
Pm1 Pm 0.333 0.750 0.833
Pm2 Pm 0.500 0.500 0.500
Ho1 Ho 0.001 0.249 0.500
Ho2 Ho 0.166 0.500 0.168
Ho3 Ho 0.500 0.000 0.500

Entry 8:
# Tb7Pm6Ho16 | the Alexandria database | PBE-GGA | relaxed
# Calculated volume in A^3/atom: 33.7
# Density in g/cm³: 7.84
# Energy relative to the elements in eV/atom: 0.2413
# Raw total energy in eV/cell: -508.6
data_Tb7Pm6Ho16
_chemical_formula_sum 'Tb28 Pm24 Ho64'
_space_group_name_H-M_alt 'F m -3 m'
_space_group_IT_number 225
_space_group_name_Hall '-F 4 2 3'
_cell_length_a 15.760
_cell_length_b 15.760
_cell_length_c 15.760
_cell_angle_alpha 90.00
_cell_angle_beta 90.00
_cell_angle_gamma 90.00
loop_
_atom_site_label
_atom_site_type_symbol
_atom_site_fract_x
_atom_site_fract_y
_atom_site_fract_z
Tb1 Tb 0.000 0.000 0.000
Tb2 Tb 0.000 0.250 0.250
Pm1 Pm 0.000 0.000 0.272
Ho1 Ho 0.126 0.126 0.126
Ho2 Ho 0.151 0.151 0.349

Entry 9:
# Tb5PmHo12 | the Alexandria database | PBE-GGA | relaxed
# Calculated volume in A^3/atom: 31.4
# Density in g/cm³: 8.59
# Energy relative to the elements in eV/atom: 0.0189
# Raw total energy in eV/cell: -165.0
data_Tb5PmHo12
_chemical_formula_sum 'Tb10 Pm2 Ho24'
_space_group_name_H-M_alt 'C 1 2/m 1'
_space_group_IT_number 12
_cell_length_a 18.386
_cell_length_b 10.614
_cell_length_c 6.130
_cell_angle_alpha 90.00
_cell_angle_beta 109.31
_cell_angle_gamma 90.00
loop_
_space_group_symop_operation_xyz
'x,y,z'
'-x,-y,-z'
'-x,y,-z'
'x,-y,z'
'x+1/2,y+1/2,z'
'-x+1/2,-y+1/2,-z'
'-x+1/2,y+1/2,-z'
'x+1/2,-y+1/2,z'
loop_
_atom_site_label
_atom_site_type_symbol
_atom_site_fract_x
_atom_site_fract_y
_atom_site_fract_z
Tb1 Tb 0.000 0.000 0.000
Tb2 Tb 0.167 0.000 0.500
Tb3 Tb 0.167 0.500 0.001
Pm1 Pm 0.000 0.500 0.500
Ho1 Ho 0.000 0.166 0.500
Ho2 Ho 0.000 0.332 0.000
Ho3 Ho 0.167 0.167 0.000
Ho4 Ho 0.167 0.333 0.500

Entry 10:
# TbPm2Ho7 | the Alexandria database | PBE-GGA | relaxed
# Calculated volume in A^3/atom: 31.6
# Density in g/cm³: 8.42
# Energy relative to the elements in eV/atom: 0.0167
# Energy above the most stable polymorph in this dataset in kcal/mol of atoms: 0.00
# Raw total energy in eV/cell: -46.0
data_TbPm2Ho7
_chemical_formula_sum 'Tb1 Pm2 Ho7'
_space_group_name_H-M_alt 'P -1'
_space_group_IT_number 2
_cell_length_a 6.146
_cell_length_b 7.103
_cell_length_c 7.936
_cell_angle_alpha 102.92
_cell_angle_beta 97.38
_cell_angle_gamma 106.82
loop_
_space_group_symop_operation_xyz
'x,y,z'
'-x,-y,-z'
loop_
_atom_site_label
_atom_site_type_symbol
_atom_site_fract_x
_atom_site_fract_y
_atom_site_fract_z
Tb1 Tb 0.000 0.000 0.000
Pm1 Pm 0.400 0.800 0.800
Ho1 Ho 0.000 0.500 0.000
Ho2 Ho 0.199 0.899 0.400
Ho3 Ho 0.200 0.401 0.401
Ho4 Ho 0.401 0.300 0.799

Look up the raw total energy of the sixth one.
-179.4 eV/cell